<w>
# Mn2ReRh2

A relaxed structure of Mn2ReRh2 (GGA-PBE, Alexandria via LeMat-Bulk).

The structure belongs to space group I4/mmm (No. 139); the cell edges are 3.660, 3.660 and 10.370 Å and the angles 90.00°, 90.00° and 90.00°. The asymmetric unit holds Mn at (0.000, 0.000, 0.094), Re at (0.000, 0.000, 0.500) and Rh at (0.000, 0.500, 0.250).

The calculation puts the size of the total moment at 0.0000 μB/atom. The crystal system is tetragonal. As for the calculated density: 12.0 g/cm3.

<x>
# Mn2ReRh2

A relaxed structure of Mn2ReRh2 (GGA-PBE, Alexandria via LeMat-Bulk).

The structure belongs to space group P4/mbm (No. 127); the cell edges are 7.089, 7.089 and 2.647 Å and the angles 90.00°, 90.00° and 90.00°. The asymmetric unit holds Mn at (0.172, 0.328, 0.000), Re at (0.000, 0.000, 0.500) and Rh at (0.127, 0.627, 0.500).

The calculation puts the size of the total moment at 0.0050 μB/atom. The crystal system is tetragonal. As for the calculated density: 12.5 g/cm3.

Pick <x>: it beats the second-best structure by 21.8 kJ/mol of atoms.